First-principles (PBE+U) data for a geometry-optimized LiAl2V4O8 structure, as listed in Alexandria via LeMat-Bulk.

Lattice parameters (Å, degrees): 5.9014 5.9014 6.0906 119.72 119.72 60.47
Fractional coordinates of all 15 atoms:
Li 0.0000 0.0000 0.0000
Al 0.0000 0.5000 0.0000
Al 0.5000 0.0000 0.0000
V 0.0000 0.5000 0.5000
V 0.5000 0.0000 0.5000
V 0.5000 0.5000 0.0000
V 0.5000 0.5000 0.5000
O 0.2439 0.7170 0.2151
O 0.2467 0.2467 0.2195
O 0.2529 0.2529 0.7805
O 0.2830 0.7561 0.7849
O 0.7170 0.2439 0.2151
O 0.7471 0.7471 0.2195
O 0.7533 0.7533 0.7805
O 0.7561 0.2830 0.7849

Results
- SG = C2/m (12)
- offset from the most stable computed form (kJ/mol of atoms) = 1.4
- E_tot (eV/atom) = -7.356